Entry 1:
{
  "formula": "BiBPt2",
  "functional": "PBE",
  "state": "relaxed",
  "lattice_angstrom": [[3.502, 0.000, 0.000], [1.751, 3.032, 0.000], [1.751, 1.011, 6.520]],
  "species": ["Pt", "Bi", "B", "Pt"],
  "fractional_positions": [[0.284, 0.284, 0.147], [0.500, 0.500, 0.500], [0.000, 0.000, 0.000], [0.716, 0.716, 0.853]],
  "relative_energy_ev_per_atom": 0.000,
  "volume_a3_per_atom": 17.3
}

***

Entry 2:
{
  "formula": "ReBiBPt2",
  "functional": "PBE",
  "state": "relaxed",
  "lattice_angstrom": [[-1.420, -2.799, 4.040], [4.136, -1.565, 0.369], [1.192, 3.883, 3.109]],
  "species": ["Pt", "Pt", "Re", "Bi", "B"],
  "fractional_positions": [[0.000, 0.000, 0.500], [0.500, 0.000, 0.000], [0.500, 0.500, 0.500], [0.000, 0.000, 0.000], [0.000, 0.500, 0.000]],
  "volume_a3_per_atom": 23.2,
  "dft_energy_ev_per_atom": -4.712
}

***

Entry 3:
{
  "formula": "BiBPt2Rh",
  "functional": "PBE",
  "state": "relaxed",
  "lattice_angstrom": [[4.345, 0.000, 0.000], [0.000, 4.345, 0.000], [0.000, 0.000, 4.305]],
  "species": ["Pt", "Rh", "Bi", "B", "Pt"],
  "fractional_positions": [[0.500, 0.000, 0.000], [0.000, 0.000, 0.500], [0.500, 0.500, 0.500], [0.000, 0.000, 0.000], [0.000, 0.500, 0.000]],
  "volume_a3_per_atom": 16.3,
  "dft_energy_ev_per_atom": -6.108
}

***

Entry 4:
{
  "formula": "Bi2BRuPt",
  "functional": "PBE",
  "state": "relaxed",
  "lattice_angstrom": [[5.000, 0.000, 0.000], [0.000, 3.987, 0.000], [0.000, 0.000, 5.000]],
  "species": ["Ru", "Bi", "B", "Bi", "Pt"],
  "fractional_positions": [[0.000, 0.500, 0.000], [0.000, 0.000, 0.500], [0.000, 0.000, 0.000], [0.500, 0.000, 0.000], [0.500, 0.500, 0.500]],
  "volume_a3_per_atom": 19.9,
  "dft_energy_ev_per_atom": -5.377
}

***

Entry 5:
{
  "formula": "Bi2BSbPt",
  "functional": "PBE",
  "state": "relaxed",
  "lattice_angstrom": [[-4.272, 2.699, 0.001], [-0.140, -0.220, -4.490], [-2.694, -4.265, 0.293]],
  "species": ["B", "Bi", "Sb", "Pt", "Bi"],
  "fractional_positions": [[0.000, 0.000, 0.000], [0.000, 0.000, 0.500], [0.000, 0.500, 0.000], [0.500, 0.500, 0.500], [0.500, 0.000, 0.000]],
  "volume_a3_per_atom": 23.0,
  "formation_energy_uncorrected_ev_per_atom": 0.774
}

***

Entry 6:
{
  "formula": "ScBiBPt2",
  "functional": "PBE",
  "state": "relaxed",
  "lattice_angstrom": [[-3.050, -0.246, -3.729], [0.905, -5.521, -0.377], [-3.655, -0.807, 3.042]],
  "species": ["Bi", "Sc", "B", "Pt", "Pt"],
  "fractional_positions": [[0.000, 0.500, 0.000], [0.000, 0.000, 0.000], [0.500, 0.500, 0.500], [0.500, 0.000, 0.000], [0.000, 0.000, 0.500]],
  "volume_a3_per_atom": 26.1,
  "dft_energy_ev_per_atom": -4.414
}

***

Entry 7:
{
  "formula": "SrBiB2Pt",
  "functional": "PBE",
  "state": "relaxed",
  "lattice_angstrom": [[4.644, 0.000, 0.000], [0.000, 6.749, 0.000], [0.000, 0.000, 4.644]],
  "species": ["Bi", "B", "B", "Pt", "Sr"],
  "fractional_positions": [[0.000, 0.000, 0.000], [0.000, 0.000, 0.500], [0.500, 0.000, 0.000], [0.500, 0.500, 0.500], [0.000, 0.500, 0.000]],
  "volume_a3_per_atom": 29.1,
  "dft_energy_ev_per_atom": -3.372
}

***

Entry 8:
{
  "formula": "BiBPt2W",
  "functional": "PBE",
  "state": "relaxed",
  "lattice_angstrom": [[4.877, 0.000, 0.000], [0.000, 5.353, 0.000], [0.000, 0.000, 4.877]],
  "species": ["B", "W", "Bi", "Pt", "Pt"],
  "fractional_positions": [[0.500, 0.500, 0.500], [0.000, 0.000, 0.000], [0.000, 0.500, 0.000], [0.000, 0.000, 0.500], [0.500, 0.000, 0.000]],
  "volume_a3_per_atom": 25.5,
  "dft_energy_ev_per_atom": -5.300
}

***

What did the sixth record say?
{
  "formula": "ScBiBPt2",
  "functional": "PBE",
  "state": "relaxed",
  "lattice_angstrom": [[-3.050, -0.246, -3.729], [0.905, -5.521, -0.377], [-3.655, -0.807, 3.042]],
  "species": ["Bi", "Sc", "B", "Pt", "Pt"],
  "fractional_positions": [[0.000, 0.500, 0.000], [0.000, 0.000, 0.000], [0.500, 0.500, 0.500], [0.500, 0.000, 0.000], [0.000, 0.000, 0.500]],
  "volume_a3_per_atom": 26.1,
  "dft_energy_ev_per_atom": -4.414
}